# 1
# Nd5SmSn6, optimized geometry, DFT PBE
# Calculated formation energy, eV per atom: -0.6728
data_Nd5SmSn6
_chemical_formula_sum 'Nd10 Sm2 Sn12'
_cell_length_a 4.9784
_cell_length_b 15.1177
_cell_length_c 9.0923
_cell_angle_alpha 90.00
_cell_angle_beta 90.00
_cell_angle_gamma 90.00
_symmetry_space_group_name_H-M 'C m m m'
_symmetry_Int_Tables_number 65
_symmetry_space_group_name_Hall '-C 2 2'
loop_
_atom_site_label
_atom_site_type_symbol
_atom_site_fract_x
_atom_site_fract_y
_atom_site_fract_z
Nd1 Nd 0.0000 0.0000 0.0000
Nd2 Nd 0.0000 0.3334 0.0000
Nd3 Nd 0.0000 0.3339 0.5000
Sm1 Sm 0.0000 0.0000 0.5000
Sn1 Sn 0.0000 0.1660 0.2509
Sn2 Sn 0.0000 0.5000 0.2510

***

# 2
# CsPrCl4, optimized geometry, DFT PBE
# Final energy, eV per cell: -26.02
data_CsPrCl4
_chemical_formula_sum 'Cs1 Pr1 Cl4'
_cell_length_a 4.8917
_cell_length_b 4.8917
_cell_length_c 8.2663
_cell_angle_alpha 90.00
_cell_angle_beta 90.00
_cell_angle_gamma 90.00
_symmetry_space_group_name_H-M 'P 4/m m m'
_symmetry_Int_Tables_number 123
_symmetry_space_group_name_Hall '-P 4 2'
loop_
_atom_site_label
_atom_site_type_symbol
_atom_site_fract_x
_atom_site_fract_y
_atom_site_fract_z
Cs1 Cs 0.0000 0.0000 0.0000
Pr1 Pr 0.5000 0.5000 0.5000
Cl1 Cl 0.0000 0.5000 0.3021